1.
The following is a DFT calculation (PBE) of a relaxed TmGaPb crystal.

The calculation puts the density of states at the Fermi level at 1.3 states/eV/f.u. For the energy relative to the elements, the calculation gives -352 meV per atom. For the polymorph energy (0 for the lowest one), the calculation gives 0 meV per atom.

Cell and atoms, written as CIF:
```
data_TmGaPb
_chemical_formula_sum 'Tm4 Ga4 Pb4'
_cell_length_a 4.520
_cell_length_b 15.659
_cell_length_c 4.219
_cell_angle_alpha 90.00
_cell_angle_beta 90.00
_cell_angle_gamma 90.00
_symmetry_space_group_name_H-M 'C m c m'
_symmetry_Int_Tables_number 63
_symmetry_space_group_name_Hall '-C 2c 2'
loop_
_atom_site_label
_atom_site_type_symbol
_atom_site_fract_x
_atom_site_fract_y
_atom_site_fract_z
_atom_site_occupancy
Tm1 Tm 0.000 0.085 0.250 1
Ga1 Ga 0.000 0.447 0.250 1
Pb1 Pb 0.000 0.267 0.750 1
```

---

2.
The following is a DFT calculation (PBE) of a relaxed NbAg2Sn crystal.

The calculation puts the density of states at the Fermi level at 1.8 states/eV/f.u. For the energy relative to the elements, the calculation gives 465 meV per atom.

Cell and atoms, written as CIF:
```
data_NbAg2Sn
_chemical_formula_sum 'Nb3 Ag6 Sn3'
_cell_length_a 2.9698
_cell_length_b 2.9698
_cell_length_c 32.7059
_cell_angle_alpha 90.00
_cell_angle_beta 90.00
_cell_angle_gamma 120.00
_symmetry_space_group_name_H-M 'R -3 m'
_symmetry_Int_Tables_number 166
_symmetry_space_group_name_Hall '-R 3 2"'
loop_
_atom_site_label
_atom_site_type_symbol
_atom_site_fract_x
_atom_site_fract_y
_atom_site_fract_z
_atom_site_occupancy
Nb1 Nb 0.0000 0.0000 0.0000 1
Ag1 Ag 0.0000 0.0000 0.0850 1
Sn1 Sn 0.0000 0.0000 0.5000 1
```

---

- What is the energy relative to the elements in the second record?
  465 meV per atom

---

- Which of these has the lowest energy relative to the elements?
  TmGaPb